# 1
Material: Zn2Ag
Method: DFT, GGA-PBE
State: optimized geometry

Cell: 4.6209 4.6209 2.7603 Å, 90.00 90.00 90.00°
Last column: nearest neighbours and their distance in Å.
Space group P4/mmm (No. 123)
Unique sites:
Zn  0.0000  0.5000  0.0000  4 Ag 2.69, 2 Zn 2.76
Ag  0.0000  0.0000  0.5000  8 Zn 2.69, 2 Ag 2.76

Results
As for the calculated density: 6.725 g cm⁻³. The raw total energy is -1.697 eV/atom. The value obtained for the density of states at the Fermi level is 0.7 states/eV/cell. The value obtained for the volume is 19.6 Å³ per atom. The energy of formation from the pure elements comes out at 0.10 eV per atom.



# 2
Material: In2Pd15Pt2
Method: DFT, GGA-PBE
State: optimized geometry

Cell: 8.9980 8.9980 13.8673 Å, 90.00 90.00 120.00°
Last column: nearest neighbours and their distance in Å.
Space group R-3m (No. 166, hexagonal axes)
Unique sites:
In  0.0000  0.0000  0.1877  1 Pt 3.00, 12 Pd 3.06-3.29
Pd  0.0000  0.3234  0.5000  8 Pd 2.73-2.91, 2 In 3.06
Pd  0.0000  0.5000  0.0000  8 Pd 2.62-2.73, 2 Pt 2.77
Pd  0.0046  0.5023  0.6618  8 Pd 2.56-2.79, 1 Pt 2.83
Pt  0.0000  0.0000  0.4037  1 Pt 2.67, 6 Pd 2.77-2.83

Results
As for the calculated density: 11.354 g cm⁻³. The raw total energy is -5.003 eV/atom. The value obtained for the density of states at the Fermi level is 80.4 states/eV/cell. The value obtained for the volume is 17.1 Å³ per atom. The energy of formation from the pure elements comes out at 0.02 eV per atom.



# 3
Material: YCdHg2
Method: DFT, GGA-PBE
State: optimized geometry

Cell: 3.3701 5.0135 5.9333 Å, 90.00 90.10 90.00°
Last column: nearest neighbours and their distance in Å.
Space group Pm (No. 6)
Unique sites:
Y  0.0000  0.0000  0.0000  8 Hg 3.30-3.43, 2 Y 3.37, 4 Cd 3.40
Cd  0.5022  0.5000  0.2631  4 Hg 2.88-3.05
Hg  0.4980  0.0000  0.5016  2 Cd 2.88, 2 Hg 2.99
Hg  0.4993  0.5000  0.7775  2 Cd 2.88-3.05, 2 Hg 2.99

Results
As for the calculated density: 9.980 g cm⁻³. The raw total energy is -2.235 eV/atom. The value obtained for the density of states at the Fermi level is 2.5 states/eV/cell. The value obtained for the volume is 25.1 Å³ per atom. The energy of formation from the pure elements comes out at -0.24 eV per atom.



# 4
Material: Al2FeP
Method: DFT, GGA-PBE
State: optimized geometry

Cell: 3.6556 3.6716 7.6400 Å, 90.00 90.00 90.00°
Last column: nearest neighbours and their distance in Å.
Space group Immm (No. 71)
Unique sites:
Al  0.0000  0.0000  0.2498  4 Al 2.59, 4 P 2.64-2.65, 4 Fe 2.64-2.65
Fe  0.0000  0.5000  0.0000  4 P 2.59, 8 Al 2.64-2.65
P  0.0000  0.5000  0.5000  4 Fe 2.59, 8 Al 2.64-2.65

Results
As for the calculated density: 4.559 g cm⁻³. The raw total energy is -5.378 eV/atom. The value obtained for the density of states at the Fermi level is 6.6 states/eV/cell. The value obtained for the volume is 12.8 Å³ per atom. The energy of formation from the pure elements comes out at -0.04 eV per atom.



# 5
Material: Y2TmLu
Method: DFT, GGA-PBE
State: optimized geometry

Cell: 3.5261 3.5261 9.9621 Å, 90.00 90.00 90.00°
Last column: nearest neighbours and their distance in Å.
Space group P4/mmm (No. 123)
Unique sites:
Y  0.0000  0.0000  0.2492  4 Lu 3.52, 4 Y 3.53, 4 Tm 3.53
Tm  0.5000  0.5000  0.5000  4 Tm 3.53, 8 Y 3.53
Lu  0.5000  0.5000  0.0000  8 Y 3.52, 4 Lu 3.53

Results
Its distance to the lowest polymorph of the same formula is 0 meV per atom. As for the calculated density: 6.994 g cm⁻³. The raw total energy is -5.448 eV/atom. The value obtained for the density of states at the Fermi level is 5.6 states/eV/cell. The value obtained for the volume is 31.0 Å³ per atom. The energy of formation from the pure elements comes out at 0.03 eV per atom.



# 6
Material: TbTm3Pd
Method: DFT, GGA-PBE
State: optimized geometry

Cell: 11.4692 8.3966 7.8304 Å, 90.00 128.85 90.00°
Last column: nearest neighbours and their distance in Å.
Space group C2/m (No. 12)
Unique sites:
Tb  0.0749  0.0000  0.2785  2 Pd 2.83-3.03
Tm  0.0408  0.5000  0.3127  1 Pd 2.77
Tm  0.2095  0.1990  0.7448  2 Pd 2.74-3.00
Pd  0.2344  0.0000  0.0842  5 Tm 2.74-3.00, 2 Tb 2.83-3.03

Results
As for the calculated density: 8.733 g cm⁻³. The raw total energy is -4.919 eV/atom. The value obtained for the density of states at the Fermi level is 30.5 states/eV/cell. The value obtained for the volume is 29.4 Å³ per atom. The energy of formation from the pure elements comes out at -0.27 eV per atom.



# 7
Material: TcAsCl2
Method: DFT, GGA-PBE
State: optimized geometry

Cell: 3.0586 4.4471 5.5370 Å, 90.00 90.00 90.00°
Last column: nearest neighbours and their distance in Å.
Space group Pmmm (No. 47)
Unique sites:
Tc  0.0000  0.0000  0.0000  4 Cl 2.70
As  0.5000  0.0000  0.5000  4 Cl 2.70
Cl  0.0000  0.5000  0.5000  4 As 2.70
Cl  0.5000  0.5000  0.0000  4 Tc 2.70

Results
Its distance to the lowest polymorph of the same formula is 746 meV per atom. As for the calculated density: 5.376 g cm⁻³. The raw total energy is -4.145 eV/atom. As for the raw formation energy: 531.7 meV/atom. The value obtained for the density of states at the Fermi level is 2.7 states/eV/cell. The value obtained for the volume is 18.8 Å³ per atom.



# 8
Material: Hg2PbCl
Method: DFT, GGA-PBE
State: optimized geometry

Cell: 5.9633 11.7344 3.9881 Å, 90.00 125.79 90.00°
Last column: nearest neighbours and their distance in Å.
Space group C2/m (No. 12)
Unique sites:
Hg  0.2500  0.2500  0.0000  4 Hg 2.98-3.30
Pb  0.0000  0.0000  0.5000  4 Cl 2.98-3.30
Cl  0.0000  0.5000  0.5000  4 Pb 2.98-3.30

Results
Its distance to the lowest polymorph of the same formula is 35 meV per atom. As for the calculated density: 9.446 g cm⁻³. The raw total energy is -1.800 eV/atom. As for the raw formation energy: -260.6 meV/atom. The value obtained for the density of states at the Fermi level is 3.6 states/eV/cell. The value obtained for the volume is 28.3 Å³ per atom.



# 9
Material: BaSrAg2
Method: DFT, GGA-PBE
State: optimized geometry

Cell: 3.7179 6.4901 12.5383 Å, 90.00 90.00 90.00°
Last column: nearest neighbours and their distance in Å.
Space group Immm (No. 71)
Unique sites:
Ba  0.0000  0.0000  0.0000  2 Ag 3.21
Sr  0.0000  0.0000  0.5000  2 Ag 3.06
Ag  0.0000  0.0000  0.2560  1 Sr 3.06, 1 Ba 3.21

Results
Its distance to the lowest polymorph of the same formula is 849 meV per atom. As for the calculated density: 4.837 g cm⁻³. The raw total energy is -1.762 eV/atom. The value obtained for the density of states at the Fermi level is 6.9 states/eV/cell. The value obtained for the volume is 37.8 Å³ per atom. The energy of formation from the pure elements comes out at 0.57 eV per atom.



# 10
Material: RbPtOF2
Method: DFT, GGA-PBE
State: optimized geometry

Cell: 4.6804 4.6804 3.7828 Å, 90.00 90.00 90.00°
Last column: nearest neighbours and their distance in Å.
Space group P4/mmm (No. 123)
Unique sites:
Rb  0.0000  0.0000  0.0000  8 F 3.01, 4 O 3.31
Pt  0.5000  0.5000  0.5000  2 O 1.89
O  0.5000  0.5000  0.0000  2 Pt 1.89
F  0.0000  0.5000  0.5000  2 Pt 2.34

Results
Its distance to the lowest polymorph of the same formula is 0 meV per atom. As for the calculated density: 6.704 g cm⁻³. The raw total energy is -4.507 eV/atom. As for the raw formation energy: -1365.7 meV/atom. The value obtained for the density of states at the Fermi level is 2.4 states/eV/cell. The value obtained for the volume is 16.6 Å³ per atom.



# 11
Material: KPrHo4Se8
Method: DFT, GGA-PBE
State: optimized geometry

Cell: 8.5378 8.5378 21.4910 Å, 90.00 90.00 120.00°
Last column: nearest neighbours and their distance in Å.
Space group R3m (No. 160, hexagonal axes)
Unique sites:
K  0.0000  0.0000  0.0000  4 Se 2.95-2.97
Pr  0.0000  0.0000  0.3651  6 Se 2.91-3.10
Ho  0.0000  0.0000  0.7440  4 Se 2.76-2.82
Ho  0.0121  0.5061  0.8716  6 Se 2.78-3.01
Se  0.0000  0.0000  0.1372  3 Ho 2.79, 1 K 2.95
Se  0.0000  0.0000  0.6125  4 Ho 2.82-3.01
Se  0.0138  0.5069  0.1249  3 Ho 2.76-3.01
Se  0.1836  0.3671  0.9441  2 Ho 2.78, 1 Pr 2.91, 1 K 2.97

Results
As for the calculated density: 5.403 g cm⁻³. The raw total energy is -5.458 eV/atom. As for the raw formation energy: -1738.7 meV/atom. The value obtained for the density of states at the Fermi level is 0.0 states/eV/cell. The value obtained for the volume is 32.3 Å³ per atom.



# 12
Material: TaSb4P2
Method: DFT, GGA-PBE
State: optimized geometry

Cell: 5.5048 5.5048 12.8246 Å, 90.00 90.00 90.00°
Last column: nearest neighbours and their distance in Å.
Space group I4/mmm (No. 139)
Unique sites:
Ta  0.0000  0.0000  0.0000  6 Sb 2.70-2.75
Sb  0.0000  0.0000  0.2106  1 P 2.37
Sb  0.0000  0.5000  0.0000  2 Ta 2.75, 4 P 3.06
P  0.0000  0.0000  0.3955  1 Sb 2.37

Results
As for the calculated density: 6.238 g cm⁻³. The raw total energy is -4.996 eV/atom. As for the raw formation energy: 598.4 meV/atom. The value obtained for the density of states at the Fermi level is 9.6 states/eV/cell. The value obtained for the volume is 27.8 Å³ per atom.